Material: Sr2CeCrO6
Method: DFT, PBE+U
State: optimized geometry Values from VASP.

```
&SYSTEM
  ibrav = 0, nat = 10, ntyp = 4
/
ATOMIC_SPECIES
Sr 87.62 Sr.upf
Ce 140.12 Ce.upf
Cr 52.00 Cr.upf
O 16.00 O.upf
ATOMIC_POSITIONS angstrom
Sr 2.072 2.072 2.072
Sr 6.215 6.215 6.215
Ce 0.000 0.000 0.000
Cr 4.143 4.143 4.143
O 4.143 4.143 2.203
O 4.143 2.203 4.143
O 6.084 4.143 4.143
O 2.203 4.143 4.143
O 4.143 6.084 4.143
O 4.143 4.143 6.084
CELL_PARAMETERS angstrom
0.000 4.143 4.143
4.143 0.000 4.143
4.143 4.143 0.000
```

Calculated values
Its symmetry is Fm-3m, No. 225. Its total DFT energy (no corrections) is -7.260 eV/atom.